Computed, not measured: a crystal of TeOsPb2 relaxed with PBEsol at the SCAN level of DFT.

Summary:
Formation energy from raw total energies in kcal/mol of atoms: 20.768
Total energy in eV per atom: -64.27
Space group: I-4m2

a = 5.001 Å, b = 5.051 Å, c = 5.001 Å
α = 60.32°, β = 90.00°, γ = 119.68°
Fractional positions:
Te 0.500 0.000 0.500
Pb 0.250 0.500 0.250
Pb 0.000 0.000 0.000
Os 0.750 0.500 0.750